(1)
Computed, not measured: a geometry-optimized Ba2TeW structure at the GGA-PBEsol level of DFT.

N(E_F), states/eV/f.u.: 3.14
E_tot, eV per atom: -4.70
Formation energy without anion corrections, meV/atom: 713
Symmetry: No. 216

abc: 5.5310 5.5310 5.5310
angles: 60.00 60.00 60.00
With the nearest neighbours (Å) after each atom.
Element x y z (fractional)
Ba 0.0000 0.0000 0.0000  4 Ba 3.39, 4 W 3.39
Ba 0.2500 0.2500 0.2500  4 Te 3.39, 4 Ba 3.39
Te 0.5000 0.5000 0.5000  4 W 3.39, 4 Ba 3.39
W 0.7500 0.7500 0.7500  4 Te 3.39, 4 Ba 3.39

---

(2)
Computed, not measured: a geometry-optimized Ba3TeW structure at the GGA-PBEsol level of DFT.

N(E_F), states/eV/f.u.: 2.94
E_tot, eV per atom: -4.42
Formation energy without anion corrections, meV/atom: 332
Symmetry: No. 221

abc: 5.7620 5.7620 5.7620
angles: 90.00 90.00 90.00
With the nearest neighbours (Å) after each atom.
Element x y z (fractional)
Ba 0.0000 0.0000 0.5000  2 W 2.88
Ba 0.0000 0.5000 0.0000  2 W 2.88
Ba 0.5000 0.0000 0.0000  2 W 2.88
Te 0.5000 0.5000 0.5000  12 Ba 4.07
W 0.0000 0.0000 0.0000  6 Ba 2.88

---

(3)
Computed, not measured: a geometry-optimized BaTe4W structure at the GGA-PBEsol level of DFT.

N(E_F), states/eV/f.u.: 4.42
E_tot, eV per atom: -4.29
Formation energy without anion corrections, meV/atom: 719
Symmetry: No. 216

abc: 6.3609 6.3609 6.3609
angles: 60.00 60.00 60.00
With the nearest neighbours (Å) after each atom.
Element x y z (fractional)
Ba 0.0000 0.0000 0.0000  12 Te 3.73, 4 W 3.90
Te 0.3763 0.3763 0.3763  6 Te 3.15-3.21
Te 0.3763 0.3763 0.8712  6 Te 3.15-3.21
Te 0.3763 0.8712 0.3763  6 Te 3.15-3.21
Te 0.8712 0.3763 0.3763  6 Te 3.15-3.21
W 0.7500 0.7500 0.7500  12 Te 3.73, 4 Ba 3.90

---

(4)
Computed, not measured: a geometry-optimized BaTeW structure at the GGA-PBEsol level of DFT.

N(E_F), states/eV/f.u.: 1.77
E_tot, eV per atom: -5.26
Formation energy without anion corrections, meV/atom: 1232
Symmetry: No. 216

abc: 5.0183 5.0183 5.0183
angles: 60.00 60.00 60.00
With the nearest neighbours (Å) after each atom.
Element x y z (fractional)
Ba 0.0000 0.0000 0.0000  4 Te 3.07
Te 0.2500 0.2500 0.2500  4 Ba 3.07, 4 W 3.07
W 0.5000 0.5000 0.5000  4 Te 3.07